# ScZnPt3 PBE-GGA relaxed
data_ScZnPt3
_space_group_name_H-M_alt 'P m -3 m'
_space_group_IT_number 221
_space_group_name_Hall '-P 4 2 3'
_cell_length_a 4.805
_cell_length_b 4.805
_cell_length_c 4.805
_cell_angle_alpha 90.00
_cell_angle_beta 90.00
_cell_angle_gamma 90.00
loop_
_atom_site_label
_atom_site_type_symbol
_atom_site_fract_x
_atom_site_fract_y
_atom_site_fract_z
Sc1 Sc 0.000 0.000 0.000
Zn1 Zn 0.500 0.500 0.500
Pt1 Pt 0.000 0.000 0.500
# * D(E_F): 0.618 states/eV/atom
# * E_form: 0.604 eV/atom

---

# LiAg2Sb2 PBE-GGA relaxed
data_LiAg2Sb2
_space_group_name_H-M_alt 'I 4/m m m'
_space_group_IT_number 139
_space_group_name_Hall '-I 4 2'
_cell_length_a 5.223
_cell_length_b 5.223
_cell_length_c 9.659
_cell_angle_alpha 90.00
_cell_angle_beta 90.00
_cell_angle_gamma 90.00
loop_
_atom_site_label
_atom_site_type_symbol
_atom_site_fract_x
_atom_site_fract_y
_atom_site_fract_z
Li1 Li 0.000 0.000 0.000
Ag1 Ag 0.000 0.000 0.356
Sb1 Sb 0.000 0.500 0.250
# * D(E_F): 0.490 states/eV/atom
# * formation energy from raw total energies: 0.5 eV/f.u.

---

# Rb2TiTlSn PBE-GGA relaxed
data_Rb2TiTlSn
_space_group_name_H-M_alt 'P 4/m m m'
_space_group_IT_number 123
_space_group_name_Hall '-P 4 2'
_cell_length_a 7.019
_cell_length_b 7.019
_cell_length_c 5.387
_cell_angle_alpha 90.00
_cell_angle_beta 90.00
_cell_angle_gamma 90.00
loop_
_atom_site_label
_atom_site_type_symbol
_atom_site_fract_x
_atom_site_fract_y
_atom_site_fract_z
Rb1 Rb 0.000 0.500 0.000
Ti1 Ti 0.000 0.000 0.500
Tl1 Tl 0.500 0.500 0.500
Sn1 Sn 0.000 0.000 0.000
# * D(E_F): 1.061 states/eV/atom
# * E_form: 0.564 eV/atom

---

# TbPmPr2S4 PBE-GGA relaxed
data_TbPmPr2S4
_space_group_name_H-M_alt 'P 1 2/m 1'
_space_group_IT_number 10
_space_group_name_Hall '-P 2y'
_cell_length_a 6.991
_cell_length_b 3.997
_cell_length_c 7.076
_cell_angle_alpha 90.00
_cell_angle_beta 108.89
_cell_angle_gamma 90.00
loop_
_atom_site_label
_atom_site_type_symbol
_atom_site_fract_x
_atom_site_fract_y
_atom_site_fract_z
Tb1 Tb 0.000 0.000 0.000
Pm1 Pm 0.500 0.500 0.000
Pr1 Pr 0.000 0.500 0.500
Pr2 Pr 0.500 0.000 0.500
S1 S 0.240 0.500 0.236
S2 S 0.249 0.000 0.760
# * D(E_F): 0.592 states/eV/atom
# * formation energy from raw total energies: -16.2 eV/f.u.

---

# La2Y4Er2Tm PBE-GGA relaxed
data_La2Y4Er2Tm
_space_group_name_H-M_alt 'C 1 2/m 1'
_space_group_IT_number 12
_space_group_name_Hall '-C 2y'
_cell_length_a 18.746
_cell_length_b 3.621
_cell_length_c 9.604
_cell_angle_alpha 90.00
_cell_angle_beta 115.72
_cell_angle_gamma 90.00
loop_
_atom_site_label
_atom_site_type_symbol
_atom_site_fract_x
_atom_site_fract_y
_atom_site_fract_z
La1 La 0.165 0.000 0.496
Y1 Y 0.020 0.000 0.837
Y2 Y 0.186 0.500 0.836
Er1 Er 0.147 0.500 0.162
Tm1 Tm 0.000 0.500 0.500
# * D(E_F): 1.483 states/eV/atom
# * E_form: 0.000 eV/atom

---

# RbEr2Te4Au PBE-GGA relaxed
data_RbEr2Te4Au
_space_group_name_H-M_alt 'C m c m'
_space_group_IT_number 63
_space_group_name_Hall '-C 2c 2'
_cell_length_a 4.420
_cell_length_b 15.308
_cell_length_c 15.732
_cell_angle_alpha 90.00
_cell_angle_beta 90.00
_cell_angle_gamma 90.00
loop_
_atom_site_label
_atom_site_type_symbol
_atom_site_fract_x
_atom_site_fract_y
_atom_site_fract_z
Rb1 Rb 0.000 0.129 0.250
Er1 Er 0.000 0.372 0.072
Te1 Te 0.000 0.000 0.000
Te2 Te 0.000 0.261 0.602
Te3 Te 0.000 0.450 0.250
Au1 Au 0.000 0.158 0.750
# * formation energy from raw total energies: -8.7 eV/f.u.

---

# TaNiSb2 PBE-GGA relaxed
data_TaNiSb2
_space_group_name_H-M_alt 'P 4 m m'
_space_group_IT_number 99
_space_group_name_Hall 'P 4 -2'
_cell_length_a 3.677
_cell_length_b 3.677
_cell_length_c 5.724
_cell_angle_alpha 90.00
_cell_angle_beta 90.00
_cell_angle_gamma 90.00
loop_
_atom_site_label
_atom_site_type_symbol
_atom_site_fract_x
_atom_site_fract_y
_atom_site_fract_z
Ta1 Ta 0.000 0.000 0.000
Ni1 Ni 0.500 0.500 0.300
Sb1 Sb 0.000 0.000 0.468
Sb2 Sb 0.500 0.500 0.819
# * D(E_F): 0.692 states/eV/atom
# * formation energy from raw total energies: 0.3 eV/f.u.

---

# LiSmTl2Pd4 PBE-GGA relaxed
data_LiSmTl2Pd4
_space_group_name_H-M_alt 'R -3 m'
_space_group_IT_number 166
_space_group_name_Hall '-R 3 2"'
_cell_length_a 4.7301
_cell_length_b 4.7301
_cell_length_c 23.4585
_cell_angle_alpha 90.00
_cell_angle_beta 90.00
_cell_angle_gamma 120.00
loop_
_atom_site_label
_atom_site_type_symbol
_atom_site_fract_x
_atom_site_fract_y
_atom_site_fract_z
Li1 Li 0.0000 0.0000 0.0000
Sm1 Sm 0.0000 0.0000 0.5000
Tl1 Tl 0.0000 0.0000 0.2543
Pd1 Pd 0.0000 0.0000 0.1128
Pd2 Pd 0.0000 0.0000 0.3747
# * D(E_F): 0.527 states/eV/atom
# * E_form: -0.472 eV/atom

---

# RbSnBi3 PBE-GGA relaxed
data_RbSnBi3
_space_group_name_H-M_alt 'P m -3 m'
_space_group_IT_number 221
_space_group_name_Hall '-P 4 2 3'
_cell_length_a 6.054
_cell_length_b 6.054
_cell_length_c 6.054
_cell_angle_alpha 90.00
_cell_angle_beta 90.00
_cell_angle_gamma 90.00
loop_
_atom_site_label
_atom_site_type_symbol
_atom_site_fract_x
_atom_site_fract_y
_atom_site_fract_z
Rb1 Rb 0.000 0.000 0.000
Sn1 Sn 0.500 0.500 0.500
Bi1 Bi 0.000 0.000 0.500
# * D(E_F): 0.645 states/eV/atom
# * E_form: 1.224 eV/atom

---

# Rb3Np3AuS8 PBE-GGA relaxed
data_Rb3Np3AuS8
_space_group_name_H-M_alt 'C 1 2/m 1'
_space_group_IT_number 12
_space_group_name_Hall '-C 2y'
_cell_length_a 13.315
_cell_length_b 8.459
_cell_length_c 8.695
_cell_angle_alpha 90.00
_cell_angle_beta 118.20
_cell_angle_gamma 90.00
loop_
_atom_site_label
_atom_site_type_symbol
_atom_site_fract_x
_atom_site_fract_y
_atom_site_fract_z
Rb1 Rb 0.000 0.000 0.000
Rb2 Rb 0.250 0.250 0.000
Np1 Np 0.000 0.500 0.500
Np2 Np 0.250 0.250 0.500
Au1 Au 0.000 0.000 0.500
S1 S 0.032 0.293 0.295
S2 S 0.205 0.000 0.666
S3 S 0.231 0.500 0.692
# * D(E_F): 1.786 states/eV/atom
# * formation energy from raw total energies: -17.1 eV/f.u.

---

| no. | M_tot (μB/cell) | DFT total energy (eV/atom) |
| --- | --- | --- |
| 1 | 0.00 | -4.54 |
| 2 | 0.00 | -3.08 |
| 3 | 1.80 | -2.68 |
| 4 | 0.00 | -6.45 |
| 5 | 0.00 | -5.48 |
| 6 | 0.00 | -4.33 |
| 7 | 0.00 | -6.39 |
| 8 | 0.00 | -4.49 |
| 9 | 0.00 | -2.10 |
| 10 | 17.98 | -6.34 |